# RbHfAl2Sn

A PBEsol-optimized structure of RbHfAl2Sn (meta-GGA SCAN, Alexandria via LeMat-Bulk).

Cell and atoms, written as POSCAR:
```
RbHfAl2Sn
1.0
5.104 0.000 0.000
0.000 5.104 0.000
0.000 0.000 5.541
Rb Hf Al Sn
1 1 2 1
Cartesian
0.000 0.000 0.000
2.552 2.552 2.770
0.000 2.552 0.000
2.552 0.000 0.000
0.000 0.000 2.770
```

Computed properties:
Final energy, eV per cell: -124.66
Energy of formation from the pure elements, meV per atom: 2035